Record 1
Compound: TaTl2As
Source: the Alexandria database
Functional: PBE
Structure: relaxed

Lattice parameters (Å, degrees): 10.9062 10.9062 10.9062 16.79 16.79 16.79
Atoms (fractional coordinates):
Tl (0.0105, 0.0105, 0.0105)
Tl (0.2491, 0.2491, 0.2491)
As (0.4847, 0.4847, 0.4847)
Ta (0.7557, 0.7557, 0.7557)

ΔH_f (0 K)   0.220 eV/atom
SG   R3m

---

Record 2
Compound: Na2CdWAu
Source: the Alexandria database
Functional: PBE
Structure: relaxed

Lattice parameters (Å, degrees): 5.9091 5.0498 5.9091 90.00 90.00 90.00
Each line ends with the local moment (μB).
Atoms (fractional coordinates):
Na (0.0000, 0.0000, 0.5000)  0.00
Na (0.5000, 0.0000, 0.0000)  0.02
Au (0.0000, 0.5000, 0.0000)  0.07
W (0.0000, 0.0000, 0.0000)  2.34
Cd (0.5000, 0.5000, 0.5000)  0.02

ΔH_f (0 K)   1.248 eV/atom
SG   P4/mmm

---

Record 3
Compound: MgTeCN2
Source: the Alexandria database
Functional: PBE
Structure: relaxed

Lattice parameters (Å, degrees): 3.8466 3.8466 6.6139 90.00 90.00 90.00
Each line ends with the local moment (μB).
Atoms (fractional coordinates):
Mg (0.0000, 0.0000, 0.0000)  -0.01
Te (0.0000, 0.0000, 0.5000)  0.01
C (0.5000, 0.5000, 0.5000)  0.34
N (0.0000, 0.5000, 0.0000)  0.97
N (0.5000, 0.0000, 0.0000)  0.97

Total energy   -18.82 eV/cell
SG   P4/mmm

---

Record 4
Compound: SrTa2F
Source: the Alexandria database
Functional: PBE
Structure: relaxed

Lattice parameters (Å, degrees): 6.0370 6.0370 6.9514 64.26 64.26 90.00
Atoms (fractional coordinates):
Sr (0.0000, 0.0000, 0.0000)
Sr (0.7500, 0.2500, 0.5000)
F (0.5000, 0.5000, 0.0000)
F (0.2500, 0.7500, 0.5000)
Ta (0.3750, 0.1250, 0.2500)
Ta (0.3750, 0.6250, 0.2500)
Ta (0.3750, 0.6250, 0.7500)
Ta (0.8750, 0.6250, 0.7500)

Total energy   -50.53 eV/cell
SG   I4_1/amd

---

Record 5
Compound: CaLa2Ru
Source: the Alexandria database
Functional: PBE
Structure: relaxed

Lattice parameters (Å, degrees): 4.1933 6.3941 11.1937 64.04 90.00 90.00
Atoms (fractional coordinates):
Ca (0.9227, 0.2717, 0.4721)
Ca (0.4227, 0.7283, 0.5279)
La (0.4225, 0.5195, 0.1340)
La (0.4225, 0.0435, 0.8041)
La (0.9225, 0.9565, 0.1959)
La (0.9225, 0.4805, 0.8660)
Ru (0.4224, 0.1604, 0.0219)
Ru (0.9224, 0.8396, 0.9781)

ΔH_f (0 K)   -0.198 eV/atom
SG   P2_1/m

---

Record 6
Compound: EuCuAu
Source: the Alexandria database
Functional: PBE
Structure: relaxed

Lattice parameters (Å, degrees): 3.5991 3.5991 5.6138 108.70 108.70 90.00
Each line ends with the local moment (μB).
Atoms (fractional coordinates):
Eu (0.9485, 0.9485, 0.8971)  6.80
Au (0.2562, 0.2562, 0.5125)  -0.01
Cu (0.6452, 0.6452, 0.2905)  -0.01

ΔH_f (0 K)   -0.343 eV/atom
SG   I4mm

---

Record 7
Compound: Tb3Mg2Pd3
Source: the Alexandria database
Functional: PBE
Structure: relaxed

Lattice parameters (Å, degrees): 3.4548 5.0151 10.6962 103.56 99.29 90.00
Atoms (fractional coordinates):
Tb (0.6197, 0.6197, 0.2394)
Tb (0.3803, 0.3803, 0.7606)
Tb (0.5000, 0.0000, 0.0000)
Mg (0.7304, 0.2304, 0.4608)
Mg (0.2696, 0.7696, 0.5392)
Pd (0.1220, 0.1220, 0.2439)
Pd (0.0000, 0.5000, 0.0000)
Pd (0.8780, 0.8780, 0.7561)

ΔH_f (0 K)   -0.637 eV/atom
SG   Immm

---

Record 8
Compound: LiMnBr2
Source: the Alexandria database
Functional: PBE
Structure: relaxed

Lattice parameters (Å, degrees): 6.9675 6.9675 6.9675 149.10 150.74 43.07
Each line ends with the local moment (μB).
Atoms (fractional coordinates):
Br (0.0390, 0.0390, 0.0000)  0.02
Br (0.7880, 0.2880, 0.5000)  0.04
Li (0.4800, 0.4800, 0.0000)  -0.02
Mn (0.1930, 0.6930, 0.5000)  3.88

Total energy   -16.71 eV/cell
SG   Imm2

---

Record 9
Compound: CsZrAlS4
Source: the Alexandria database
Functional: PBE
Structure: relaxed

Lattice parameters (Å, degrees): 6.3478 6.8442 10.3926 90.00 121.63 90.00
Atoms (fractional coordinates):
Cs (0.6534, 0.7500, 0.9378)
Cs (0.3466, 0.2500, 0.0622)
Zr (0.7834, 0.7500, 0.4585)
Zr (0.2166, 0.2500, 0.5415)
Al (0.2075, 0.7500, 0.3553)
Al (0.7925, 0.2500, 0.6447)
S (0.0638, 0.4938, 0.6747)
S (0.9362, 0.9938, 0.3253)
S (0.9362, 0.5062, 0.3253)
S (0.0638, 0.0062, 0.6747)
S (0.3593, 0.7500, 0.2048)
S (0.6407, 0.2500, 0.7952)
S (0.5380, 0.7500, 0.5859)
S (0.4620, 0.2500, 0.4141)

Total energy   -78.32 eV/cell
SG   P2_1/m

---

Record 10
Compound: MgBe2Fe
Source: the Alexandria database
Functional: PBE
Structure: relaxed

Lattice parameters (Å, degrees): 3.7908 3.7908 8.1591 76.57 76.57 90.00
Each line ends with the local moment (μB).
Atoms (fractional coordinates):
Be (0.7731, 0.1250, 0.2500)  -0.04
Be (0.9769, 0.6250, 0.2500)  -0.04
Be (0.3750, 0.2269, 0.7500)  -0.04
Be (0.8750, 0.0231, 0.7500)  -0.04
Mg (0.5000, 0.5000, 0.0000)  -0.02
Mg (0.2500, 0.7500, 0.5000)  -0.02
Fe (0.0000, 0.0000, 0.0000)  1.23
Fe (0.7500, 0.2500, 0.5000)  1.22

ΔH_f (0 K)   0.603 eV/atom
SG   I-42d

---

Record 11
Compound: CsSn2Pd
Source: the Alexandria database
Functional: PBE
Structure: relaxed

Lattice parameters (Å, degrees): 4.5253 7.7500 7.8061 90.00 90.00 90.00
Atoms (fractional coordinates):
Cs (0.5000, 0.8925, 0.0000)
Cs (0.0000, 0.1075, 0.5000)
Sn (0.0000, 0.6293, 0.6988)
Sn (0.5000, 0.3707, 0.8012)
Sn (0.0000, 0.6293, 0.3012)
Sn (0.5000, 0.3707, 0.1988)
Pd (0.5000, 0.5619, 0.5000)
Pd (0.0000, 0.4381, 0.0000)

ΔH_f (0 K)   -0.373 eV/atom
SG   Pmmn

---

Record 12
Compound: CaCdSi
Source: the Alexandria database
Functional: PBE
Structure: relaxed

Lattice parameters (Å, degrees): 4.4654 4.4654 4.2215 90.00 90.00 120.00
Atoms (fractional coordinates):
Ca (0.0000, 0.0000, 0.9997)
Cd (0.6667, 0.3333, 0.4996)
Si (0.3333, 0.6667, 0.5007)

Total energy   -9.15 eV/cell
SG   P-6m2

---

Number 1: volume 23.60 Å³/atom, M_tot 0.00 μB/atom. Number 2: volume 35.27 Å³/atom, M_tot 0.65 μB/atom. Number 3: volume 19.57 Å³/atom, M_tot 0.73 μB/atom. Number 4: volume 24.99 Å³/atom, M_tot 0.00 μB/atom. Number 5: volume 33.73 Å³/atom, M_tot 0.00 μB/atom. Number 6: volume 21.61 Å³/atom, M_tot 2.34 μB/atom. Number 7: volume 22.21 Å³/atom, M_tot 0.00 μB/atom. Number 8: volume 21.17 Å³/atom, M_tot 1.01 μB/atom. Number 9: volume 27.46 Å³/atom, M_tot 0.00 μB/atom. Number 10: volume 13.84 Å³/atom, M_tot 0.25 μB/atom. Number 11: volume 34.22 Å³/atom, M_tot 0.00 μB/atom. Number 12: volume 24.30 Å³/atom, M_tot 0.00 μB/atom.